DFT (PBEsol) results for TcTe2Ru after structural relaxation.

Computed properties:
Energy relative to the lowest polymorph listed for this composition   0.000 eV per atom
ρ   10.8 g/cm³

a = 3.280 Å, b = 3.280 Å, c = 6.480 Å
α = 90.00°, β = 90.00°, γ = 90.00°
Last column: magnetic moment on the atom in μB.
Sites, in units of the cell vectors:
Ru: 0.500 0.500 0.000  0.12
Tc: 0.500 0.500 0.500  0.01
Te: 0.000 0.000 0.750  0.00
Te: 0.000 0.000 0.250  0.00